An optimized crystal structure of Tb3Er4Mg, computed with PBE.

* calculated formation energy: 0 meV/atom
* ΔE to the lowest computed polymorph: 0.000 eV/atom
* total magnetic moment: 0.000 μB per formula unit

a = 11.1709 Å, b = 7.0688 Å, c = 6.1489 Å
α = 90.00°, β = 90.00°, γ = 90.00°
Closest atoms and distances in Å follow each position.
Element x y z (fractional)
Tb 0.0000 0.1283 0.0000  6 Er 3.42-3.67, 4 Tb 3.45-3.50, 2 Mg 3.51-3.62
Tb 0.2441 0.1222 0.3424  2 Mg 3.41-3.51, 4 Tb 3.45-3.53, 6 Er 3.46-3.60
Tb 0.2559 0.8778 0.8424  2 Mg 3.41-3.51, 4 Tb 3.45-3.53, 6 Er 3.46-3.60
Tb 0.5000 0.8717 0.5000  6 Er 3.42-3.67, 4 Tb 3.45-3.50, 2 Mg 3.51-3.62
Tb 0.7441 0.8778 0.8424  2 Mg 3.41-3.51, 4 Tb 3.45-3.53, 6 Er 3.46-3.60
Tb 0.7559 0.1222 0.3424  2 Mg 3.41-3.51, 4 Tb 3.45-3.53, 6 Er 3.46-3.60
Er 0.0000 0.3782 0.5230  6 Er 3.42-3.62, 4 Tb 3.42-3.67, 2 Mg 3.50-3.57
Er 0.0000 0.6244 0.0068  6 Er 3.45-3.62, 4 Tb 3.51-3.56, 2 Mg 3.52-3.56
Er 0.2454 0.6250 0.3502  1 Mg 3.40, 6 Er 3.42-3.55, 5 Tb 3.46-3.60
Er 0.2546 0.3750 0.8502  1 Mg 3.40, 6 Er 3.42-3.55, 5 Tb 3.46-3.60
Er 0.5000 0.3756 0.5068  6 Er 3.45-3.62, 4 Tb 3.51-3.56, 2 Mg 3.52-3.56
Er 0.5000 0.6218 0.0230  6 Er 3.42-3.62, 4 Tb 3.42-3.67, 2 Mg 3.50-3.57
Er 0.7454 0.3750 0.8502  1 Mg 3.40, 6 Er 3.42-3.55, 5 Tb 3.46-3.60
Er 0.7546 0.6250 0.3502  1 Mg 3.40, 6 Er 3.42-3.55, 5 Tb 3.46-3.60
Mg 0.0000 0.8731 0.5102  6 Er 3.40-3.57, 6 Tb 3.41-3.62
Mg 0.5000 0.1269 0.0102  6 Er 3.40-3.57, 6 Tb 3.41-3.62